! PBE-GGA TbLuPd4, optimized geometry; values from VASP
&SYSTEM
  ibrav = 0, nat = 6, ntyp = 3
/
ATOMIC_SPECIES
Pd 106.42 Pd.upf
Tb 158.93 Tb.upf
Lu 174.97 Lu.upf
ATOMIC_POSITIONS angstrom
Pd -0.307 -2.841 -5.603
Pd 1.353 -4.478 -4.205
Pd -1.341 -4.721 -3.934
Pd -0.134 -5.476 -6.250
Tb -0.054 -2.189 -2.499
Lu 0.000 0.000 0.000
CELL_PARAMETERS angstrom
-2.968 -1.992 -4.082
2.409 -1.507 -4.623
0.345 -5.259 -1.291
! ΔE_f   -0.816 eV/atom
! Spin magnetization   0.000 μB/f.u.
! D(E_F)   0.58 states/eV/atom

! PBE-GGA CsMg14V, optimized geometry; values from VASP
&SYSTEM
  ibrav = 0, nat = 16, ntyp = 3
/
ATOMIC_SPECIES
Mg 24.30 Mg.upf
Cs 132.91 Cs.upf
V 50.94 V.upf
ATOMIC_POSITIONS angstrom
Mg 3.271 3.754 8.338
Mg 4.887 0.956 2.405
Mg 4.861 2.806 5.372
Mg 3.271 -1.888 7.949
Mg 3.271 0.053 5.372
Mg 3.271 3.754 2.405
Mg 3.271 -0.046 0.000
Mg 1.681 2.806 5.372
Mg 3.271 -1.888 2.794
Mg 4.867 -2.810 0.000
Mg 1.655 0.956 2.405
Mg 1.675 -2.810 0.000
Mg 4.887 0.956 8.338
Mg 1.655 0.956 8.338
Cs 0.000 0.000 5.372
V 0.000 0.000 0.000
CELL_PARAMETERS angstrom
3.271 -5.665 0.000
3.271 5.665 0.000
0.000 0.000 10.743
! ΔE_f   0.246 eV/atom
! Spin magnetization   3.414 μB/f.u.
! D(E_F)   0.55 states/eV/atom

! PBE-GGA Fe2ReTe, optimized geometry; values from VASP
&SYSTEM
  ibrav = 0, nat = 4, ntyp = 3
/
ATOMIC_SPECIES
Fe 55.84 Fe.upf
Re 186.21 Re.upf
Te 127.60 Te.upf
ATOMIC_POSITIONS angstrom
Fe 2.411 -1.842 3.378
Fe 0.754 -5.030 1.098
Re 0.921 -7.549 1.354
Te 0.307 -2.516 0.451
CELL_PARAMETERS angstrom
-1.911 -4.105 0.012
0.588 -4.122 -1.781
2.551 -1.839 3.574
! Spin magnetization   3.775 μB/f.u.
! D(E_F)   1.19 states/eV/atom
! Raw formation energy   0.592 eV per atom

! PBE-GGA TbCoB, optimized geometry; values from VASP
&SYSTEM
  ibrav = 0, nat = 3, ntyp = 3
/
ATOMIC_SPECIES
Co 58.93 Co.upf
B 10.81 B.upf
Tb 158.93 Tb.upf
ATOMIC_POSITIONS angstrom
Co 0.664 0.000 0.000
B 0.664 1.787 1.031
Tb 2.655 0.000 2.063
CELL_PARAMETERS angstrom
3.983 0.000 0.000
0.000 3.573 0.000
0.000 -1.787 3.094
! ΔE_f   -0.319 eV/atom
! Spin magnetization   0.000 μB/f.u.
! D(E_F)   0.74 states/eV/atom

no.,density (kg/m³)
1,11164
2,2186
3,11433
4,8622